A relaxed ThTlRh4 crystal. Source: Alexandria via LeMat-Bulk, functional GGA-PBE.

The calculation puts the energy of formation from the pure elements at -42.91 kJ/mol of atoms.

It has space group F-43m (No. 216), with a = 7.603 Å, b = 7.603 Å, c = 7.603 Å, α = 90.00°, β = 90.00° and γ = 90.00°. The asymmetric unit holds Th at (0.000, 0.000, 0.000), Tl at (0.250, 0.250, 0.750) and Rh at (0.124, 0.124, 0.376).

---

A relaxed AcGe2TeO8 crystal. Source: Alexandria via LeMat-Bulk, functional GGA-PBE.

The raw formation energy comes out at -1.625 eV per atom.

It has space group R32 (No. 155, hexagonal axes), with a = 4.9542 Å, b = 4.9542 Å, c = 23.2159 Å, α = 90.00°, β = 90.00° and γ = 120.00°. The asymmetric unit holds Ac at (0.0000, 0.0000, 0.0000), Ge at (0.0000, 0.0000, 0.2452), Te at (0.0000, 0.0000, 0.5000), O at (0.0000, 0.0000, 0.3204) and O at (0.0064, 0.3497, 0.2249).

---

Here are the calculated volume numbers, same order: 18.3 13.7 (Å³/atom).
Here are the calculated M_tot numbers, same order: 0.000 0.067 (μB per atom).